(1)
# PBE Ce4SiRu5, relaxed
data_Ce4SiRu5
_cell_length_a 8.5603
_cell_length_b 8.5603
_cell_length_c 5.3850
_cell_angle_alpha 90.00
_cell_angle_beta 90.00
_cell_angle_gamma 90.00
_symmetry_space_group_name_H-M 'I 4'
_symmetry_Int_Tables_number 79
loop_
_symmetry_equiv_pos_as_xyz
'x,y,z'
'-y,x,z'
'-x,-y,z'
'y,-x,z'
'x+1/2,y+1/2,z+1/2'
'-y+1/2,x+1/2,z+1/2'
'-x+1/2,-y+1/2,z+1/2'
'y+1/2,-x+1/2,z+1/2'
loop_
_atom_site_label
_atom_site_type_symbol
_atom_site_fract_x
_atom_site_fract_y
_atom_site_fract_z
_atom_site_occupancy
Ce1 Ce 0.0936 0.7008 0.0000 1
Si1 Si 0.0000 0.0000 0.6890 1
Ru1 Ru 0.0000 0.0000 0.1329 1
Ru2 Ru 0.0678 0.7550 0.4818 1
# mass density	9.2	Mg/m³
# raw total energy	-158.6	eV per cell
# calculated volume	19.7	Å³ per atom

***

(2)
# PBE Ce3Si4Ru, relaxed
data_Ce3Si4Ru
_cell_length_a 4.4209
_cell_length_b 6.0304
_cell_length_c 13.4104
_cell_angle_alpha 90.00
_cell_angle_beta 90.00
_cell_angle_gamma 90.00
_symmetry_space_group_name_H-M 'I m m m'
_symmetry_Int_Tables_number 71
_symmetry_space_group_name_Hall '-I 2 2'
loop_
_atom_site_label
_atom_site_type_symbol
_atom_site_fract_x
_atom_site_fract_y
_atom_site_fract_z
_atom_site_occupancy
Ce1 Ce 0.0000 0.0000 0.0000 1
Ce2 Ce 0.0000 0.5000 0.1771 1
Si1 Si 0.0000 0.3001 0.3800 1
Ru1 Ru 0.0000 0.0000 0.5000 1
# mass density	5.9	Mg/m³
# raw total energy	-106.0	eV per cell
# calculated volume	22.3	Å³ per atom

***

(3)
# PBE Ce2Si4Ru5, relaxed
data_Ce2Si4Ru5
_cell_length_a 5.8775
_cell_length_b 10.0886
_cell_length_c 12.7908
_cell_angle_alpha 90.00
_cell_angle_beta 90.00
_cell_angle_gamma 90.00
_symmetry_space_group_name_H-M 'F m m m'
_symmetry_Int_Tables_number 69
_symmetry_space_group_name_Hall '-F 2 2'
loop_
_atom_site_label
_atom_site_type_symbol
_atom_site_fract_x
_atom_site_fract_y
_atom_site_fract_z
_atom_site_occupancy
Ce1 Ce 0.0000 0.0000 0.1243 1
Si1 Si 0.0000 0.1492 0.3650 1
Ru1 Ru 0.0000 0.0000 0.5000 1
Ru2 Ru 0.2500 0.2500 0.0000 1
Ru3 Ru 0.2500 0.2500 0.2500 1
# mass density	7.9	Mg/m³
# raw total energy	-352.2	eV per cell
# calculated volume	17.2	Å³ per atom

***

(4)
# PBE Ce3Si2Ru, relaxed
data_Ce3Si2Ru
_cell_length_a 11.9648
_cell_length_b 4.3160
_cell_length_c 10.3269
_cell_angle_alpha 90.00
_cell_angle_beta 90.00
_cell_angle_gamma 90.00
_symmetry_space_group_name_H-M 'P n m a'
_symmetry_Int_Tables_number 62
loop_
_symmetry_equiv_pos_as_xyz
'x,y,z'
'-x,-y,-z'
'-x+1/2,-y,z+1/2'
'x+1/2,y,-z+1/2'
'x+1/2,-y+1/2,-z+1/2'
'-x+1/2,y+1/2,z+1/2'
'-x,y+1/2,-z'
'x,-y+1/2,z'
loop_
_atom_site_label
_atom_site_type_symbol
_atom_site_fract_x
_atom_site_fract_y
_atom_site_fract_z
_atom_site_occupancy
Ce1 Ce 0.0451 0.2500 0.0925 1
Ce2 Ce 0.1233 0.7500 0.5617 1
Ce3 Ce 0.2345 0.2500 0.7750 1
Si1 Si 0.0120 0.7500 0.2970 1
Si2 Si 0.2069 0.7500 0.9821 1
Ru1 Ru 0.1135 0.2500 0.3474 1
# mass density	7.2	Mg/m³
# raw total energy	-166.9	eV per cell
# calculated volume	22.2	Å³ per atom

***

(5)
# PBE Ce5SiRu, relaxed
data_Ce5SiRu
_cell_length_a 8.9315
_cell_length_b 7.4998
_cell_length_c 10.2357
_cell_angle_alpha 90.00
_cell_angle_beta 97.82
_cell_angle_gamma 90.00
_symmetry_space_group_name_H-M 'C 1 2/c 1'
_symmetry_Int_Tables_number 15
loop_
_symmetry_equiv_pos_as_xyz
'x,y,z'
'-x,-y,-z'
'-x,y,-z+1/2'
'x,-y,z+1/2'
'x+1/2,y+1/2,z'
'-x+1/2,-y+1/2,-z'
'-x+1/2,y+1/2,-z+1/2'
'x+1/2,-y+1/2,z+1/2'
loop_
_atom_site_label
_atom_site_type_symbol
_atom_site_fract_x
_atom_site_fract_y
_atom_site_fract_z
_atom_site_occupancy
Ce1 Ce 0.0000 0.0558 0.2500 1
Ce2 Ce 0.1285 0.3500 0.5288 1
Ce3 Ce 0.2412 0.2337 0.8628 1
Si1 Si 0.0000 0.4707 0.2500 1
Ru1 Ru 0.0000 0.0000 0.0000 1
# mass density	8.1	Mg/m³
# raw total energy	-184.1	eV per cell
# calculated volume	24.3	Å³ per atom

***

(6)
# PBE Ce6SiRu3, relaxed
data_Ce6SiRu3
_cell_length_a 11.2455
_cell_length_b 4.0417
_cell_length_c 11.6855
_cell_angle_alpha 90.00
_cell_angle_beta 107.89
_cell_angle_gamma 90.00
_symmetry_space_group_name_H-M 'P 1 21/m 1'
_symmetry_Int_Tables_number 11
loop_
_symmetry_equiv_pos_as_xyz
'x,y,z'
'-x,-y,-z'
'-x,y+1/2,-z'
'x,-y+1/2,z'
loop_
_atom_site_label
_atom_site_type_symbol
_atom_site_fract_x
_atom_site_fract_y
_atom_site_fract_z
_atom_site_occupancy
Ce1 Ce 0.0319 0.2500 0.3903 1
Ce2 Ce 0.1107 0.2500 0.9431 1
Ce3 Ce 0.2321 0.7500 0.2616 1
Ce4 Ce 0.2909 0.7500 0.7546 1
Ce5 Ce 0.3793 0.2500 0.5359 1
Ce6 Ce 0.4152 0.7500 0.0973 1
Si1 Si 0.4501 0.2500 0.3008 1
Ru1 Ru 0.0474 0.2500 0.1654 1
Ru2 Ru 0.1866 0.7500 0.4992 1
Ru3 Ru 0.3415 0.2500 0.9125 1
# mass density	7.7	Mg/m³
# raw total energy	-143.6	eV per cell
# calculated volume	25.3	Å³ per atom

***

Question: raw total energy of number 2 (Ce3Si4Ru)?
Answer: -106.0 eV per cell

***

Question: Among the records above, which one has the lowest mass density?
Answer: Ce3Si4Ru

***

Repeat the fifth record exactly.
# PBE Ce5SiRu, relaxed
data_Ce5SiRu
_cell_length_a 8.9315
_cell_length_b 7.4998
_cell_length_c 10.2357
_cell_angle_alpha 90.00
_cell_angle_beta 97.82
_cell_angle_gamma 90.00
_symmetry_space_group_name_H-M 'C 1 2/c 1'
_symmetry_Int_Tables_number 15
loop_
_symmetry_equiv_pos_as_xyz
'x,y,z'
'-x,-y,-z'
'-x,y,-z+1/2'
'x,-y,z+1/2'
'x+1/2,y+1/2,z'
'-x+1/2,-y+1/2,-z'
'-x+1/2,y+1/2,-z+1/2'
'x+1/2,-y+1/2,z+1/2'
loop_
_atom_site_label
_atom_site_type_symbol
_atom_site_fract_x
_atom_site_fract_y
_atom_site_fract_z
_atom_site_occupancy
Ce1 Ce 0.0000 0.0558 0.2500 1
Ce2 Ce 0.1285 0.3500 0.5288 1
Ce3 Ce 0.2412 0.2337 0.8628 1
Si1 Si 0.0000 0.4707 0.2500 1
Ru1 Ru 0.0000 0.0000 0.0000 1
# mass density	8.1	Mg/m³
# raw total energy	-184.1	eV per cell
# calculated volume	24.3	Å³ per atom

***

Question: Which of these has the highest raw total energy?
Answer: Ce3Si4Ru